This record from Alexandria describes a relaxed structure of YCr2W. The functional is PBE-GGA.

Lattice parameters (Å, degrees): 3.156 3.156 6.855 90.00 90.00 90.00
Sites, in units of the cell vectors:
Y: 0.000 0.000 0.000
Cr: 0.500 0.500 0.298
Cr: 0.500 0.500 0.702
W: 0.000 0.000 0.500

SG = P4/mmm (123)
Energy relative to the elements = 0.376 eV per atom
Calculated total energy = -9.29 eV/atom